(1)
Compound: Cs6WBr12
Source: Alexandria
Functional: PBE
Structure: optimized geometry

## Properties
* total magnetization: 0.7 μB/f.u.
* uncorrected formation energy: -120 kJ/mol of atoms
* VASP energy: -3.25 eV per atom

Cell and atoms, written as CIF:
```
data_Cs6WBr12
_chemical_formula_sum 'Cs18 W3 Br36'
_space_group_name_H-M_alt 'R -3'
_space_group_IT_number 148
_space_group_name_Hall '-R 3'
_cell_length_a 13.8211
_cell_length_b 13.8211
_cell_length_c 18.7354
_cell_angle_alpha 90.00
_cell_angle_beta 90.00
_cell_angle_gamma 120.00
loop_
_atom_site_label
_atom_site_type_symbol
_atom_site_fract_x
_atom_site_fract_y
_atom_site_fract_z
Cs1 Cs 0.0125 0.7423 0.2419
W1 W 0.0000 0.0000 0.5000
Br1 Br 0.0113 0.7526 0.7436
Br2 Br 0.0635 0.1682 0.5766
```

(2)
Compound: CsWBr3
Source: Alexandria
Functional: PBE
Structure: optimized geometry

## Properties
* total magnetization: 4.0 μB/f.u.
* Fermi-level density of states: 0.442 states/eV per atom
* distance to the lowest polymorph of the same formula: 0.240 eV per atom
* uncorrected formation energy: -36 kJ/mol of atoms
* VASP energy: -4.14 eV per atom

Cell and atoms, written as CIF:
```
data_CsWBr3
_chemical_formula_sum 'Cs1 W1 Br3'
_space_group_name_H-M_alt 'P m -3 m'
_space_group_IT_number 221
_space_group_name_Hall '-P 4 2 3'
_cell_length_a 5.496
_cell_length_b 5.496
_cell_length_c 5.496
_cell_angle_alpha 90.00
_cell_angle_beta 90.00
_cell_angle_gamma 90.00
loop_
_atom_site_label
_atom_site_type_symbol
_atom_site_fract_x
_atom_site_fract_y
_atom_site_fract_z
Cs1 Cs 0.000 0.000 0.000
W1 W 0.500 0.500 0.500
Br1 Br 0.000 0.500 0.500
```

(3)
Compound: CsWBr6
Source: Alexandria
Functional: PBE
Structure: optimized geometry

## Properties
* total magnetization: 1.0 μB/f.u.
* Fermi-level density of states: 0.770 states/eV per atom
* distance to the lowest polymorph of the same formula: 0.000 eV per atom
* uncorrected formation energy: -79 kJ/mol of atoms
* VASP energy: -3.80 eV per atom

Cell and atoms, written as CIF:
```
data_CsWBr6
_chemical_formula_sum 'Cs4 W4 Br24'
_space_group_name_H-M_alt 'C 1 2/c 1'
_space_group_IT_number 15
_space_group_name_Hall '-C 2yc'
_cell_length_a 12.912
_cell_length_b 6.965
_cell_length_c 13.305
_cell_angle_alpha 90.00
_cell_angle_beta 102.46
_cell_angle_gamma 90.00
loop_
_atom_site_label
_atom_site_type_symbol
_atom_site_fract_x
_atom_site_fract_y
_atom_site_fract_z
Cs1 Cs 0.000 0.103 0.250
W1 W 0.250 0.250 0.000
Br1 Br 0.078 0.380 0.898
Br2 Br 0.156 0.049 0.538
Br3 Br 0.214 0.407 0.160
```